Density functional theory data (PBE) for a relaxed structure of K3TlCu4Cl12.

Cell lengths 9.282, 9.282, 9.282 Å; angles 101.73, 101.73, 101.73 degrees
Sites, in units of the cell vectors:
K 0.000 0.540 0.460
K 0.460 0.000 0.540
K 0.540 0.460 0.000
Tl 0.000 0.000 0.000
Cu 0.050 0.500 0.950
Cu 0.500 0.500 0.500
Cu 0.500 0.950 0.050
Cu 0.950 0.050 0.500
Cl 0.012 0.658 0.814
Cl 0.102 0.898 0.500
Cl 0.186 0.342 0.988
Cl 0.342 0.988 0.186
Cl 0.350 0.650 0.500
Cl 0.500 0.102 0.898
Cl 0.500 0.350 0.650
Cl 0.650 0.500 0.350
Cl 0.658 0.814 0.012
Cl 0.814 0.012 0.658
Cl 0.898 0.500 0.102
Cl 0.988 0.186 0.342

The space-group type is R32, No. 155. The total magnetization comes out at 4.25 μB/f.u. For the uncorrected formation energy, the calculation gives -0.933 eV/atom.